# TbTmNi2Ge4

Crystalline TbTmNi2Ge4 at its relaxed geometry (PBE, OQMD).

Unit cell a=4.183 b=8.623 c=8.623 alpha=27.31 beta=90.00 gamma=90.00
Fractional coordinates of all 8 atoms:
Tb (0.000, 0.000, 0.000)
Tm (0.500, 0.784, 0.784)
Ni (0.000, 0.215, 0.215)
Ni (0.500, 0.570, 0.570)
Ge (0.000, 0.351, 0.351)
Ge (0.000, 0.641, 0.641)
Ge (0.500, 0.145, 0.145)
Ge (0.500, 0.433, 0.433)

Summary:
The space group is Amm2, No. 38. For the uncorrected energy, the calculation gives -5.5264 eV per atom.


# TbYNi2Ge

Crystalline TbYNi2Ge at its relaxed geometry (PBE, OQMD).

Unit cell a=3.628 b=6.928 c=6.928 alpha=33.27 beta=90.00 gamma=90.00
Fractional coordinates of all 5 atoms:
Tb (0.000, 0.000, 0.000)
Y (0.000, 0.257, 0.257)
Ni (0.500, 0.435, 0.435)
Ni (0.500, 0.825, 0.825)
Ge (0.500, 0.630, 0.630)

Summary:
The space group is Amm2, No. 38. For the uncorrected energy, the calculation gives -5.9632 eV per atom.


# TcNi2Ge

Crystalline TcNi2Ge at its relaxed geometry (PBE, OQMD).

Unit cell a=4.149 b=4.149 c=4.149 alpha=60.00 beta=60.00 gamma=60.00
Fractional coordinates of all 4 atoms:
Tc (0.000, 0.000, 0.000)
Ni (0.250, 0.250, 0.250)
Ni (0.500, 0.500, 0.500)
Ge (0.750, 0.750, 0.750)

Summary:
The space group is F-43m, No. 216. For the uncorrected energy, the calculation gives -6.5977 eV per atom.


# TcNiGe

Crystalline TcNiGe at its relaxed geometry (PBE, OQMD).

Unit cell a=4.011 b=4.011 c=4.011 alpha=60.00 beta=60.00 gamma=60.00
Fractional coordinates of all 3 atoms:
Tc (0.000, 0.000, 0.000)
Ni (0.500, 0.500, 0.500)
Ge (0.750, 0.750, 0.750)

Summary:
The space group is F-43m, No. 216. The energy above the most stable polymorph in this dataset comes out at 0.0 meV per atom.


# TcNiGe

Crystalline TcNiGe at its relaxed geometry (PBE, OQMD).

Unit cell a=4.095 b=4.095 c=4.095 alpha=60.00 beta=60.00 gamma=60.00
Fractional coordinates of all 3 atoms:
Tc (0.000, 0.000, 0.000)
Ni (0.250, 0.250, 0.250)
Ge (0.750, 0.750, 0.750)

Summary:
The space group is F-43m, No. 216. The energy above the most stable polymorph in this dataset comes out at 172.6 meV per atom.


# YTcNiGe

Crystalline YTcNiGe at its relaxed geometry (PBE, OQMD).

Unit cell a=4.508 b=4.508 c=4.508 alpha=60.00 beta=60.00 gamma=60.00
Fractional coordinates of all 4 atoms:
Y (0.000, 0.000, 0.000)
Tc (0.250, 0.250, 0.250)
Ni (0.750, 0.750, 0.750)
Ge (0.500, 0.500, 0.500)

Summary:
The space group is F-43m, No. 216. For the uncorrected energy, the calculation gives -6.8570 eV per atom.


# ZnTcNiGe

Crystalline ZnTcNiGe at its relaxed geometry (PBE, OQMD).

Unit cell a=4.219 b=4.219 c=4.219 alpha=60.00 beta=60.00 gamma=60.00
Fractional coordinates of all 4 atoms:
Zn (0.000, 0.000, 0.000)
Tc (0.250, 0.250, 0.250)
Ni (0.750, 0.750, 0.750)
Ge (0.500, 0.500, 0.500)

Summary:
The space group is F-43m, No. 216. For the uncorrected energy, the calculation gives -5.5304 eV per atom.


# ZrTcNiGe

Crystalline ZrTcNiGe at its relaxed geometry (PBE, OQMD).

Unit cell a=4.419 b=4.419 c=4.419 alpha=60.00 beta=60.00 gamma=60.00
Fractional coordinates of all 4 atoms:
Zr (0.000, 0.000, 0.000)
Tc (0.250, 0.250, 0.250)
Ni (0.750, 0.750, 0.750)
Ge (0.500, 0.500, 0.500)

Summary:
The space group is F-43m, No. 216. For the uncorrected energy, the calculation gives -7.5583 eV per atom.


# NiGe2Te

Crystalline NiGe2Te at its relaxed geometry (PBE, OQMD).

Unit cell a=4.731 b=4.731 c=4.731 alpha=60.00 beta=60.00 gamma=60.00
Fractional coordinates of all 4 atoms:
Ni (0.000, 0.000, 0.000)
Ge (0.500, 0.500, 0.500)
Ge (0.750, 0.750, 0.750)
Te (0.250, 0.250, 0.250)

Summary:
The space group is F-43m, No. 216. For the uncorrected energy, the calculation gives -4.0937 eV per atom.


# Ni2GeTe

Crystalline Ni2GeTe at its relaxed geometry (PBE, OQMD).

Unit cell a=3.945 b=7.122 c=4.811 alpha=90.00 beta=90.00 gamma=90.00
Fractional coordinates of all 8 atoms:
Ni (0.000, 0.154, 0.000)
Ni (0.000, 0.795, 0.833)
Ni (0.500, 0.205, 0.333)
Ni (0.500, 0.846, 0.500)
Ge (0.000, 0.072, 0.518)
Ge (0.500, 0.928, 0.018)
Te (0.000, 0.633, 0.343)
Te (0.500, 0.367, 0.843)

Summary:
The space group is Pmn2_1, No. 31. The energy above the most stable polymorph in this dataset comes out at 57.6 meV per atom.


# Ni2GeTe

Crystalline Ni2GeTe at its relaxed geometry (PBE, OQMD).

Unit cell a=3.848 b=6.622 c=5.109 alpha=90.00 beta=90.00 gamma=90.00
Fractional coordinates of all 8 atoms:
Ni (0.000, 0.007, 0.000)
Ni (0.000, 0.993, 0.500)
Ni (0.500, 0.487, 0.999)
Ni (0.500, 0.513, 0.499)
Ge (0.500, 0.154, 0.250)
Ge (0.500, 0.846, 0.750)
Te (0.000, 0.329, 0.735)
Te (0.000, 0.671, 0.235)

Summary:
The space group is Pmc2_1, No. 26. The energy above the most stable polymorph in this dataset comes out at 21.8 meV per atom.


# Ni2GeTe

Crystalline Ni2GeTe at its relaxed geometry (PBE, OQMD).

Unit cell a=5.122 b=3.859 c=6.595 alpha=90.00 beta=91.98 gamma=90.00
Fractional coordinates of all 8 atoms:
Ni (0.006, 0.250, 0.300)
Ni (0.492, 0.250, 0.253)
Ni (0.508, 0.750, 0.747)
Ni (0.994, 0.750, 0.700)
Ge (0.281, 0.750, 0.417)
Ge (0.719, 0.250, 0.583)
Te (0.241, 0.250, 0.899)
Te (0.759, 0.750, 0.101)

Summary:
The space group is P2_1/m, No. 11. The energy above the most stable polymorph in this dataset comes out at 0.0 meV per atom.


# Ni4Ge3Te

Crystalline Ni4Ge3Te at its relaxed geometry (PBE, OQMD).

Unit cell a=5.401 b=3.663 c=6.039 alpha=90.00 beta=90.13 gamma=90.00
Fractional coordinates of all 8 atoms:
Ni (0.000, 0.000, 0.000)
Ni (0.003, 0.500, 0.419)
Ni (0.468, 0.500, 0.540)
Ni (0.490, 0.000, 0.911)
Ge (0.183, 0.000, 0.629)
Ge (0.276, 0.500, 0.105)
Ge (0.795, 0.500, 0.803)
Te (0.686, 0.000, 0.307)

Summary:
The space group is Pm, No. 6. For the uncorrected energy, the calculation gives -5.1308 eV per atom.


# NiGeTe

Crystalline NiGeTe at its relaxed geometry (PBE, OQMD).

Unit cell a=4.380 b=4.380 c=4.380 alpha=60.00 beta=60.00 gamma=60.00
Fractional coordinates of all 3 atoms:
Ni (0.000, 0.000, 0.000)
Ge (0.750, 0.750, 0.750)
Te (0.250, 0.250, 0.250)

Summary:
The space group is F-43m, No. 216. For the uncorrected energy, the calculation gives -4.5218 eV per atom.


# Ni3GeTe2

Crystalline Ni3GeTe2 at its relaxed geometry (PBE, OQMD).

Unit cell a=3.958 b=3.958 c=16.393 alpha=90.00 beta=90.00 gamma=120.00
Fractional coordinates of all 12 atoms:
Ni (0.000, 0.000, 0.167)
Ni (0.000, 0.000, 0.333)
Ni (0.000, 0.000, 0.667)
Ni (0.000, 0.000, 0.833)
Ni (0.333, 0.667, 0.250)
Ni (0.667, 0.333, 0.750)
Ge (0.333, 0.667, 0.750)
Ge (0.667, 0.333, 0.250)
Te (0.333, 0.667, 0.092)
Te (0.333, 0.667, 0.408)
Te (0.667, 0.333, 0.592)
Te (0.667, 0.333, 0.908)

Summary:
The space group is P6_3/mmc, No. 194. For the uncorrected energy, the calculation gives -4.8750 eV per atom.


# ThNiGe

Crystalline ThNiGe at its relaxed geometry (PBE, OQMD).

Unit cell a=4.492 b=4.492 c=4.492 alpha=60.00 beta=60.00 gamma=60.00
Fractional coordinates of all 3 atoms:
Th (0.000, 0.000, 0.000)
Ni (0.750, 0.750, 0.750)
Ge (0.500, 0.500, 0.500)

Summary:
The space group is F-43m, No. 216. For the uncorrected energy, the calculation gives -6.5885 eV per atom.


# ThNiGe

Crystalline ThNiGe at its relaxed geometry (PBE, OQMD).

Unit cell a=4.733 b=4.733 c=4.733 alpha=60.00 beta=60.00 gamma=60.00
Fractional coordinates of all 3 atoms:
Th (0.000, 0.000, 0.000)
Ni (0.250, 0.250, 0.250)
Ge (0.750, 0.750, 0.750)

Summary:
The space group is F-43m, No. 216. For the uncorrected energy, the calculation gives -5.7125 eV per atom.


# TlNiGe

Crystalline TlNiGe at its relaxed geometry (PBE, OQMD).

Unit cell a=4.336 b=4.336 c=4.336 alpha=60.00 beta=60.00 gamma=60.00
Fractional coordinates of all 3 atoms:
Tl (0.000, 0.000, 0.000)
Ni (0.750, 0.750, 0.750)
Ge (0.500, 0.500, 0.500)

Summary:
The space group is F-43m, No. 216. The energy above the most stable polymorph in this dataset comes out at 0.0 meV per atom.


# TlNiGe2

Crystalline TlNiGe2 at its relaxed geometry (PBE, OQMD).

Unit cell a=4.742 b=4.742 c=4.742 alpha=60.00 beta=60.00 gamma=60.00
Fractional coordinates of all 4 atoms:
Tl (0.000, 0.000, 0.000)
Ni (0.250, 0.250, 0.250)
Ge (0.500, 0.500, 0.500)
Ge (0.750, 0.750, 0.750)

Summary:
The space group is F-43m, No. 216. For the uncorrected energy, the calculation gives -3.8665 eV per atom.


# Tl2NiGe2

Crystalline Tl2NiGe2 at its relaxed geometry (PBE, OQMD).

Unit cell a=3.808 b=3.808 c=7.120 alpha=90.00 beta=90.00 gamma=90.00
Fractional coordinates of all 5 atoms:
Tl (0.000, 0.000, 0.191)
Tl (0.000, 0.000, 0.809)
Ni (0.500, 0.500, 0.000)
Ge (0.000, 0.500, 0.500)
Ge (0.500, 0.000, 0.500)

Summary:
The space group is P4/mmm, No. 123. For the uncorrected energy, the calculation gives -3.2853 eV per atom.